(1)
Here is crystalline Li3AuCl at its relaxed geometry from the Alexandria database. Energies are from GGA-PBEsol.

Unit cell a=4.473 b=4.473 c=4.473 alpha=90.00 beta=90.00 gamma=90.00
Sites, in units of the cell vectors:
1 Li 0.000 0.000 0.500
2 Li 0.000 0.500 0.000
3 Li 0.500 0.000 0.000
4 Au 0.500 0.500 0.500
5 Cl 0.000 0.000 0.000

Output
volume: 17.90 Å³ per atom

=====

(2)
Here is crystalline CsTa2ZnRe at its relaxed geometry from the Alexandria database. Energies are from GGA-PBEsol.

Unit cell a=4.777 b=4.777 c=5.329 alpha=90.00 beta=90.00 gamma=90.00
Sites, in units of the cell vectors:
1 Cs 0.000 0.000 0.000
2 Ta 0.000 0.500 0.500
3 Ta 0.500 0.000 0.500
4 Zn 0.000 0.000 0.500
5 Re 0.500 0.500 0.000

Output
volume: 24.32 Å³ per atom
formation energy: 2.70 eV/atom

=====

(3)
Here is crystalline CaPtAu2 at its relaxed geometry from the Alexandria database. Energies are from GGA-PBEsol.

Unit cell a=9.465 b=9.465 c=9.465 alpha=18.21 beta=18.21 gamma=18.21
Sites, in units of the cell vectors:
1 Ca 0.000 0.000 0.000
2 Pt 0.500 0.500 0.500
3 Au 0.248 0.248 0.248
4 Au 0.752 0.752 0.752

Output
volume: 18.09 Å³ per atom
formation energy: 0.06 eV/atom
excess energy over the best structure of this formula in the dataset: 615 meV/atom

=====

(4)
Here is crystalline LiB2Ru2 at its relaxed geometry from the Alexandria database. Energies are from GGA-PBEsol.

Unit cell a=5.759 b=5.759 c=2.854 alpha=90.00 beta=90.00 gamma=90.00
Sites, in units of the cell vectors:
1 Li 0.000 0.000 0.000
2 Li 0.500 0.500 0.000
3 B 0.120 0.380 0.000
4 B 0.380 0.880 0.000
5 B 0.620 0.120 0.000
6 B 0.880 0.620 0.000
7 Ru 0.170 0.670 0.500
8 Ru 0.330 0.170 0.500
9 Ru 0.670 0.830 0.500
10 Ru 0.830 0.330 0.500

Output
volume: 9.47 Å³ per atom
formation energy: -0.35 eV/atom

=====

(5)
Here is crystalline LiBe2Fe at its relaxed geometry from the Alexandria database. Energies are from GGA-PBEsol.

Unit cell a=8.110 b=8.110 c=8.110 alpha=17.00 beta=17.00 gamma=17.00
Sites, in units of the cell vectors:
1 Li 0.000 0.000 0.000
2 Be 0.243 0.243 0.243
3 Be 0.757 0.757 0.757
4 Fe 0.500 0.500 0.500

Output
volume: 9.95 Å³ per atom
formation energy: 0.10 eV/atom

=====

(6)
Here is crystalline CoCuRe2 at its relaxed geometry from the Alexandria database. Energies are from GGA-PBEsol.

Unit cell a=8.707 b=8.707 c=8.707 alpha=17.43 beta=17.43 gamma=17.43
Sites, in units of the cell vectors:
1 Co 0.000 0.000 0.000
2 Cu 0.500 0.500 0.500
3 Re 0.253 0.253 0.253
4 Re 0.747 0.747 0.747

Output
volume: 12.93 Å³ per atom
formation energy: 0.21 eV/atom
excess energy over the best structure of this formula in the dataset: 59 meV/atom

=====

(7)
Here is crystalline In2ReRh at its relaxed geometry from the Alexandria database. Energies are from GGA-PBEsol.

Unit cell a=2.936 b=2.936 c=7.712 alpha=90.00 beta=90.00 gamma=90.00
Sites, in units of the cell vectors:
1 In 0.000 0.000 0.236
2 In 0.000 0.000 0.764
3 Re 0.500 0.500 0.500
4 Rh 0.500 0.500 0.000

Output
volume: 16.62 Å³ per atom
formation energy: 0.24 eV/atom
excess energy over the best structure of this formula in the dataset: 111 meV/atom

=====

(8)
Here is crystalline LiNi3Ru at its relaxed geometry from the Alexandria database. Energies are from GGA-PBEsol.

Unit cell a=4.426 b=4.426 c=4.426 alpha=90.00 beta=90.00 gamma=90.00
Sites, in units of the cell vectors:
1 Li 0.000 0.000 0.000
2 Ni 0.000 0.500 0.500
3 Ni 0.500 0.000 0.500
4 Ni 0.500 0.500 0.000
5 Ru 0.500 0.500 0.500

Output
volume: 17.34 Å³ per atom
formation energy: 1.17 eV/atom

=====

Record order is preserved below.
Energy: -0.1118 -0.2020 -0.1536 -0.2800 -0.1701 -0.3483 -0.2433 -0.1821 hartree per atom
Record order is preserved below.
Mass density: 4.70 10.19 14.44 8.09 3.37 15.89 12.96 5.44 Mg/m³